w) 5
Lattice="4.094 0.000 0.000 0.000 4.094 0.000 0.000 0.000 4.094" Properties=species:S:1:pos:R:3 comment="TiIr3N, relaxed, DFT GGA-PBE" rho_g_cm3=15.46 m_tot_mub_per_atom=0.000 pbc="T T T"
Ti 2.047 2.047 2.047
Ir 0.000 0.000 2.047
Ir 0.000 2.047 0.000
Ir 2.047 0.000 0.000
N 0.000 0.000 0.000

x) 5
Lattice="-3.789 0.143 2.635 -2.608 -0.897 -3.702 0.398 -4.527 0.817" Properties=species:S:1:pos:R:3 comment="TiIr3N, relaxed, DFT GGA-PBE" rho_g_cm3=10.77 m_tot_mub_per_atom=0.793 pbc="T T T"
N -3.000 -2.641 -0.125
Ir -1.304 -0.449 -1.851
Ir -1.894 0.071 1.317
Ir 0.199 -2.263 0.408
Ti 0.000 0.000 0.000

Most stable pick: w). Distance to second place: 217.8 kJ/mol of atoms.

w) 8
Lattice="-2.461 3.551 -1.392 -0.214 -1.782 -4.169 -5.347 -1.427 -1.587" Properties=species:S:1:pos:R:3 comment="TiIrN2, relaxed, DFT GGA-PBE" rho_g_cm3=9.04 m_tot_mub_per_atom=0.000 pbc="T T T"
Ti -1.337 0.884 -2.780
Ti -3.449 -1.163 -4.268
Ir -4.573 1.504 -2.880
Ir 0.000 0.000 0.000
N -6.348 0.502 -5.998
N -5.016 -0.432 -3.333
N -2.868 1.590 -1.768
N -1.812 -0.977 -3.196

x) 4
Lattice="1.935 -3.242 -0.610 -1.245 -2.509 -2.605 1.935 -0.488 -3.263" Properties=species:S:1:pos:R:3 comment="TiIrN2, relaxed, DFT GGA-PBE" rho_g_cm3=11.25 m_tot_mub_per_atom=0.000 pbc="T T T"
Ir 1.313 -3.119 -3.239
N 0.656 -1.560 -1.619
N 1.969 -4.679 -4.858
Ti 0.000 0.000 0.000

Most stable pick: w). Distance to second place: 67.9 kJ/mol of atoms.

w) 5
Lattice="4.497 0.000 0.000 0.000 4.497 0.000 0.000 0.000 3.981" Properties=species:S:1:pos:R:3 comment="Zr2TiIrN, relaxed, DFT GGA-PBE" rho_g_cm3=9.00 m_tot_mub_per_atom=0.162 pbc="T T T"
N 0.000 0.000 0.000
Ti 0.000 0.000 1.991
Zr 2.249 0.000 0.000
Zr 0.000 2.249 0.000
Ir 2.249 2.249 1.991

x) 10
Lattice="-1.816 -2.464 1.783 -1.116 -1.392 -3.060 10.268 -7.734 -0.228" Properties=species:S:1:pos:R:3 comment="Zr2TiIrN, relaxed, DFT GGA-PBE" rho_g_cm3=8.99 m_tot_mub_per_atom=0.000 pbc="T T T"
N -0.017 -1.903 0.872
N 8.819 -7.759 -1.739
Zr 0.301 -1.343 -1.549
Zr 7.058 -6.432 -1.700
Zr 1.744 -3.229 0.833
Zr 8.500 -8.318 0.682
Ti 3.668 -5.795 -0.753
Ti 5.134 -3.867 -0.114
Ir 2.873 -3.280 -1.606
Ir 5.928 -6.381 0.740

Most stable pick: w). Distance to second place: 11.8 kJ/mol of atoms.

w) 4
Lattice="1.846 0.000 6.673 -0.923 1.599 6.673 -0.923 -1.599 6.673" Properties=species:S:1:pos:R:3 comment="TlIrN2, relaxed, DFT GGA-PBE" rho_g_cm3=11.93 m_tot_mub_per_atom=0.000 pbc="T T T"
Tl 0.000 0.000 0.000
N 0.000 0.000 17.601
N 0.000 0.000 2.418
Ir 0.000 0.000 10.009

x) 8
Lattice="-3.576 -4.857 -0.666 4.258 -2.669 -3.401 1.837 -5.284 1.033" Properties=species:S:1:pos:R:3 comment="TlIrN2, relaxed, DFT GGA-PBE" rho_g_cm3=10.25 m_tot_mub_per_atom=0.000 pbc="T T T"
Tl -0.699 -6.952 -0.833
Tl 0.000 0.000 0.000
Ir 3.218 -5.858 -2.200
Ir 0.341 -3.763 -2.033
N 1.406 -10.192 -2.329
N 2.202 -7.142 -1.204
N -0.766 -4.042 -0.494
N 2.196 -4.245 -2.039

y) 4
Lattice="-1.917 0.758 3.556 -3.137 2.653 0.118 -3.828 -1.370 0.604" Properties=species:S:1:pos:R:3 comment="TlIrN2, relaxed, DFT GGA-PBE" rho_g_cm3=14.36 m_tot_mub_per_atom=0.000 pbc="T T T"
N -6.662 1.532 3.208
N -2.221 0.511 1.069
Ir 0.000 0.000 0.000
Tl -4.442 1.021 2.139

z) 4
Lattice="-4.744 -3.543 -3.262 -3.214 -5.804 -1.299 -5.592 -3.800 -0.018" Properties=species:S:1:pos:R:3 comment="TlIrN2, relaxed, DFT GGA-PBE" rho_g_cm3=11.11 m_tot_mub_per_atom=0.000 pbc="T T T"
N -12.275 -11.910 -4.148
N -1.275 -1.237 -0.431
Tl -6.775 -6.574 -2.289
Ir 0.000 0.000 0.000

Most stable pick: x). Distance to second place: 3.9 kJ/mol of atoms.

w) 5
Lattice="4.748 0.000 0.000 0.000 4.748 0.000 0.000 0.000 4.748" Properties=species:S:1:pos:R:3 comment="IrW3N, relaxed, DFT GGA-PBE" rho_g_cm3=11.76 m_tot_mub_per_atom=0.058 pbc="T T T"
W 0.000 0.000 2.374
W 0.000 2.374 0.000
W 2.374 0.000 0.000
N 2.374 2.374 2.374
Ir 0.000 0.000 0.000

x) 5
Lattice="4.105 0.000 0.000 0.000 4.105 0.000 0.000 0.000 4.105" Properties=species:S:1:pos:R:3 comment="IrW3N, relaxed, DFT GGA-PBE" rho_g_cm3=18.19 m_tot_mub_per_atom=0.000 pbc="T T T"
N 0.000 0.000 0.000
W 2.052 0.000 0.000
W 0.000 2.052 0.000
W 0.000 0.000 2.052
Ir 2.052 2.052 2.052

Most stable pick: x). Distance to second place: 302.8 kJ/mol of atoms.

w) 16
Lattice="-5.739 -0.615 4.918 1.669 -2.051 1.691 8.453 6.721 -0.193" Properties=species:S:1:pos:R:3 comment="ZrIrN2, relaxed, DFT GGA-PBE" rho_g_cm3=10.64 m_tot_mub_per_atom=0.000 pbc="T T T"
Zr 4.737 4.399 3.572
Zr 2.178 3.816 5.391
Zr -0.324 2.064 2.823
Zr -2.883 1.482 4.642
N 6.470 4.752 2.290
N 0.306 -0.113 2.473
N 1.409 2.418 1.541
N 3.698 4.273 1.531
N -3.274 -0.714 5.278
N 0.118 3.672 4.336
N -0.730 0.940 4.774
N 2.662 5.326 3.831
Ir 5.619 3.139 1.174
Ir 3.156 2.253 2.531
Ir 0.558 0.804 0.425
Ir -1.905 -0.081 1.782

x) 16
Lattice="5.975 0.000 0.001 0.000 3.046 0.000 -3.141 0.000 10.250" Properties=species:S:1:pos:R:3 comment="ZrIrN2, relaxed, DFT GGA-PBE" rho_g_cm3=11.09 m_tot_mub_per_atom=0.000 pbc="T T T"
Ir 2.769 0.000 8.784
Ir 1.131 1.523 7.312
Ir 4.340 1.523 3.659
Ir 2.702 0.000 2.187
Zr -0.365 1.523 9.799
Zr -1.777 0.000 6.398
Zr -0.206 1.523 1.273
Zr 1.205 0.000 4.674
N -0.033 0.000 7.987
N -0.443 0.000 3.105
N 2.576 1.523 5.707
N -0.353 1.523 5.456
N 1.538 1.523 2.862
N 1.218 0.000 0.331
N -2.013 1.523 8.230
N 4.146 0.000 0.582

y) 8
Lattice="-0.612 2.648 4.831 -2.244 -1.840 0.724 3.939 -3.862 2.390" Properties=species:S:1:pos:R:3 comment="ZrIrN2, relaxed, DFT GGA-PBE" rho_g_cm3=10.38 m_tot_mub_per_atom=0.000 pbc="T T T"
N 1.173 -2.355 3.824
N -1.545 1.087 4.151
N -0.927 -0.601 1.774
N 0.260 -0.535 5.619
Ir 1.558 -0.334 3.978
Ir 1.890 -3.778 2.432
Zr 3.417 -2.348 4.619
Zr 0.230 1.807 5.301

Most stable pick: y). Distance to second place: 3.5 kJ/mol of atoms.